A relaxed structure of Dy4Tm3ThSe8, computed with GGA-PBE.

Computed properties:
Formation energy (no corrections) (eV per formula unit): -26.8

Unit cell a=8.1602 b=8.1602 c=19.8977 alpha=90.00 beta=90.00 gamma=120.00
Space group R-3m (No. 166, hexagonal axes)
Asymmetric unit:
Dy (0.0000, 0.0000, 0.0000) x3
Dy (0.0000, 0.5000, 0.0000) x9
Tm (0.0000, 0.5000, 0.5000) x9
Th (0.0000, 0.0000, 0.5000) x3
Se (0.0000, 0.0000, 0.2480) x6
Se (0.0088, 0.5044, 0.7499) x18

A relaxed structure of Pm2Y3Er3, computed with GGA-PBE.

Computed properties:
E_form (meV per atom): 23
Offset from the most stable computed form (meV per atom): 0

Unit cell a=7.157 b=14.265 c=6.169 alpha=90.00 beta=125.45 gamma=90.00
Space group C2/m (No. 12)
Asymmetric unit:
Pm (0.000, 0.249, 0.000) x4
Y (0.000, 0.376, 0.500) x4
Y (0.000, 0.500, 0.000) x2
Er (0.000, 0.000, 0.000) x2
Er (0.000, 0.123, 0.500) x4

A relaxed structure of Be4ZnIn, computed with GGA-PBE.

Computed properties:
E_form (meV per atom): 291

Unit cell a=6.556 b=6.556 c=6.556 alpha=90.00 beta=90.00 gamma=90.00
Space group F-43m (No. 216)
Asymmetric unit:
Be (0.124, 0.124, 0.376) x16
Zn (0.250, 0.250, 0.750) x4
In (0.000, 0.000, 0.000) x4